Material: Tm2PuMgHg4
Method: DFT, GGA-PBE
State: optimized geometry

Results
The calculation puts the raw total energy at -0.26355 Ry/atom. The value obtained for the density of states at the Fermi level is 10.818 states/eV per cell.

Cell and atoms, written as extended XYZ:
```
8
Lattice="2.563 1.480 8.610 -2.563 1.480 8.610 0.000 -2.959 8.610" Properties=species:S:1:pos:R:3 pbc="T T T"
Tm 0.000 0.000 6.377
Tm 0.000 0.000 19.454
Pu 0.000 0.000 0.000
Mg 0.000 0.000 12.916
Hg 0.000 0.000 3.270
Hg 0.000 0.000 9.790
Hg 0.000 0.000 16.041
Hg 0.000 0.000 22.561
```